(1)
{
  "formula": "Ti3GaAu",
  "functional": "PBE",
  "state": "optimized geometry",
  "lattice": [[4.662, 0.000, 0.000], [0.000, 4.662, 0.000], [0.000, 0.000, 4.662]],
  "species": ["Ti", "Ti", "Ti", "Ga", "Au"],
  "frac_coords": [[0.000, 0.000, 0.500], [0.000, 0.500, 0.000], [0.500, 0.000, 0.000], [0.000, 0.000, 0.000], [0.500, 0.500, 0.500]],
  "spacegroup": "Pm-3m, No. 221",
  "relative_energy_ev_per_atom": 0.685,
  "ef_kj_per_mol_atoms": 50,
  "n_ef_per_ev_cell": 5.20
}

***

(2)
{
  "formula": "IrPdO2",
  "functional": "PBE",
  "state": "optimized geometry",
  "lattice": [[2.989, 0.000, 0.000], [-1.495, 2.589, 0.000], [0.000, 0.000, 19.116]],
  "species": ["Ir", "Ir", "Ir", "Pd", "Pd", "Pd", "O", "O", "O", "O", "O", "O"],
  "frac_coords": [[0.000, 0.000, 0.000], [0.333, 0.667, 0.667], [0.667, 0.333, 0.333], [0.000, 0.000, 0.500], [0.333, 0.667, 0.167], [0.667, 0.333, 0.833], [0.000, 0.000, 0.100], [0.000, 0.000, 0.900], [0.333, 0.667, 0.566], [0.333, 0.667, 0.767], [0.667, 0.333, 0.233], [0.667, 0.333, 0.434]],
  "spacegroup": "R-3m, No. 166",
  "relative_energy_ev_per_atom": 0.162,
  "n_ef_per_ev_cell": 11.16
}